[1]
# SbAsP

A relaxed SbAsP crystal (GGA-PBE, the Alexandria database).

Lattice parameters (Å, degrees): 4.6150 4.6150 4.6150 60.00 60.00 60.00
Fractional coordinates of all 3 atoms:
Sb 0.0000 0.0000 0.0000
As 0.5000 0.5000 0.5000
P 0.2500 0.2500 0.2500

[2]
# SbAs2P

A relaxed SbAs2P crystal (GGA-PBE, the Alexandria database).

Lattice parameters (Å, degrees): 3.9441 3.9441 5.8023 90.00 90.00 90.00
Fractional coordinates of all 4 atoms:
Sb 0.0000 0.0000 0.0000
As 0.0000 0.0000 0.4675
As 0.5000 0.5000 0.5235
P 0.5000 0.5000 0.9320

[3]
# SbAs3P

A relaxed SbAs3P crystal (GGA-PBE, the Alexandria database).

Lattice parameters (Å, degrees): 5.2175 5.2175 5.2175 90.00 90.00 90.00
Fractional coordinates of all 5 atoms:
Sb 0.0000 0.0000 0.0000
As 0.0000 0.0000 0.5000
As 0.0000 0.5000 0.0000
As 0.5000 0.0000 0.0000
P 0.5000 0.5000 0.5000

[4]
# SbAsP3

A relaxed SbAsP3 crystal (GGA-PBE, the Alexandria database).

Lattice parameters (Å, degrees): 4.7258 4.7258 4.7258 90.00 90.00 90.00
Fractional coordinates of all 5 atoms:
Sb 0.0000 0.0000 0.0000
As 0.5000 0.5000 0.5000
P 0.0000 0.5000 0.5000
P 0.5000 0.0000 0.5000
P 0.5000 0.5000 0.0000

[5]
# SbAs2P

A relaxed SbAs2P crystal (GGA-PBE, the Alexandria database).

Lattice parameters (Å, degrees): 5.8746 5.8746 5.8365 119.67 119.67 32.84
Fractional coordinates of all 4 atoms:
Sb 0.0000 0.0000 0.0000
As 0.5389 0.5389 0.4428
As 0.7564 0.7564 0.0846
P 0.2220 0.2220 0.7348

[6]
# Sb2AsP

A relaxed Sb2AsP crystal (GGA-PBE, the Alexandria database).

Lattice parameters (Å, degrees): 3.5201 3.5201 8.3208 90.00 90.00 90.00
Fractional coordinates of all 4 atoms:
Sb 0.0000 0.0000 0.0000
Sb 0.5000 0.5000 0.3792
As 0.0000 0.0000 0.5418
P 0.5000 0.5000 0.8652

[7]
# SbAs2P

A relaxed SbAs2P crystal (GGA-PBE, the Alexandria database).

Lattice parameters (Å, degrees): 6.7760 6.7760 6.7760 149.28 129.10 60.63
Fractional coordinates of all 4 atoms:
Sb 0.0000 0.0000 0.0000
As 0.5337 0.0337 0.5000
As 0.6798 0.6798 0.0000
P 0.8468 0.3468 0.5000

[8]
# Sb4AsP

A relaxed Sb4AsP crystal (GGA-PBE, the Alexandria database).

Lattice parameters (Å, degrees): 6.0919 6.0919 6.0919 60.00 60.00 60.00
Fractional coordinates of all 6 atoms:
Sb 0.1252 0.1252 0.1252
Sb 0.1252 0.1252 0.6243
Sb 0.1252 0.6243 0.1252
Sb 0.6243 0.1252 0.1252
As 0.7500 0.7500 0.7500
P 0.5000 0.5000 0.5000

[9]
# SbAs2P

A relaxed SbAs2P crystal (GGA-PBE, the Alexandria database).

Lattice parameters (Å, degrees): 4.8225 4.8225 4.8225 119.62 119.62 90.65
Fractional coordinates of all 4 atoms:
Sb 0.0000 0.0000 0.0000
As 0.5000 0.5000 0.0000
As 0.7500 0.2500 0.5000
P 0.2500 0.7500 0.5000

[10]
# Sb2AsP

A relaxed Sb2AsP crystal (GGA-PBE, the Alexandria database).

Lattice parameters (Å, degrees): 5.0021 5.0021 5.0021 60.00 60.00 60.00
Fractional coordinates of all 4 atoms:
Sb 0.0000 0.0000 0.0000
Sb 0.2500 0.2500 0.2500
As 0.5000 0.5000 0.5000
P 0.7500 0.7500 0.7500

[11]
# SbAs2P

A relaxed SbAs2P crystal (GGA-PBE, the Alexandria database).

Lattice parameters (Å, degrees): 5.7906 5.7906 5.7906 146.10 129.59 62.15
Fractional coordinates of all 4 atoms:
Sb 0.0000 0.0000 0.0000
As 0.3048 0.8048 0.5000
As 0.6952 0.1952 0.5000
P 0.5000 0.5000 0.0000

[12]
# SbAs2P

A relaxed SbAs2P crystal (GGA-PBE, the Alexandria database).

Lattice parameters (Å, degrees): 6.2526 6.2526 4.0028 107.39 107.39 35.99
Fractional coordinates of all 4 atoms:
Sb 0.0000 0.0000 0.0000
As 0.2603 0.2603 0.3022
As 0.7397 0.7397 0.6978
P 0.5000 0.5000 0.5000

[13]
# SbAs3P

A relaxed SbAs3P crystal (GGA-PBE, the Alexandria database).

Lattice parameters (Å, degrees): 4.8072 4.8072 4.8072 90.00 90.00 90.00
Fractional coordinates of all 5 atoms:
Sb 0.0000 0.0000 0.0000
As 0.0000 0.5000 0.5000
As 0.5000 0.0000 0.5000
As 0.5000 0.5000 0.0000
P 0.5000 0.5000 0.5000

[14]
# Sb2AsP

A relaxed Sb2AsP crystal (GGA-PBE, the Alexandria database).

Lattice parameters (Å, degrees): 4.9829 4.9829 4.9829 60.00 60.00 60.00
Fractional coordinates of all 4 atoms:
Sb 0.2500 0.2500 0.2500
Sb 0.7500 0.7500 0.7500
As 0.0000 0.0000 0.0000
P 0.5000 0.5000 0.5000

[15]
# Sb2AsP

A relaxed Sb2AsP crystal (GGA-PBE, the Alexandria database).

Lattice parameters (Å, degrees): 4.9973 4.9973 4.0335 90.00 90.00 108.61
Fractional coordinates of all 4 atoms:
Sb 0.2411 0.7589 0.0000
Sb 0.7589 0.2411 0.0000
As 0.5000 0.5000 0.5000
P 0.0000 0.0000 0.5000

[16]
# SbAs2P

A relaxed SbAs2P crystal (GGA-PBE, the Alexandria database).

Lattice parameters (Å, degrees): 3.3567 3.3567 8.2064 90.00 90.00 90.00
Fractional coordinates of all 4 atoms:
Sb 0.0000 0.0000 0.0000
As 0.0000 0.0000 0.5431
As 0.5000 0.5000 0.1901
P 0.5000 0.5000 0.6589

[17]
# Sb2AsP

A relaxed Sb2AsP crystal (GGA-PBE, the Alexandria database).

Lattice parameters (Å, degrees): 6.6553 6.6553 6.6553 115.47 115.47 98.04
Fractional coordinates of all 8 atoms:
Sb 0.1112 0.6250 0.9862
Sb 0.3750 0.3612 0.4862
Sb 0.6388 0.1250 0.0138
Sb 0.8750 0.8888 0.5138
As 0.2500 0.7500 0.5000
As 0.5000 0.5000 0.0000
P 0.0000 0.0000 0.0000
P 0.7500 0.2500 0.5000

[18]
# Sb2AsP

A relaxed Sb2AsP crystal (GGA-PBE, the Alexandria database).

Lattice parameters (Å, degrees): 3.2708 3.2708 8.9804 90.00 90.00 111.64
Fractional coordinates of all 4 atoms:
Sb 0.0000 0.0000 0.2376
Sb 0.0000 0.0000 0.7624
As 0.5000 0.5000 0.5000
P 0.5000 0.5000 0.0000

[19]
# Sb2AsP

A relaxed Sb2AsP crystal (GGA-PBE, the Alexandria database).

Lattice parameters (Å, degrees): 4.9968 4.9968 3.4949 90.00 90.00 90.00
Fractional coordinates of all 4 atoms:
Sb 0.0000 0.5000 0.0000
Sb 0.5000 0.0000 0.0000
As 0.0000 0.0000 0.5000
P 0.5000 0.5000 0.5000

[20]
# SbAs2P

A relaxed SbAs2P crystal (GGA-PBE, the Alexandria database).

Lattice parameters (Å, degrees): 3.2102 3.2102 8.8241 90.00 90.00 114.66
Fractional coordinates of all 4 atoms:
Sb 0.0000 0.0000 0.0000
As 0.5000 0.5000 0.2901
As 0.5000 0.5000 0.7099
P 0.0000 0.0000 0.5000

Values for raw formation energy, eV/atom, ordered as above
0.535, 0.087, 1.386, 0.883, 0.347, 0.359, 0.381, 0.833, 0.499, 0.512, 0.383, 0.130, 0.596, 0.421, 0.195, 0.396, 0.309, 0.475, 0.409, 0.490